Record 1
A plane-wave DFT calculation with GGA-PBE was carried out for a relaxed RbBa2Bi crystal.

a b c (Å): 5.154 5.154 12.180
angles (deg): 77.79 77.79 60.00
Positions (direct):
Ba1 0.052 0.052 0.843
Ba2 0.281 0.281 0.158
Rb1 0.501 0.501 0.498
Bi1 0.666 0.666 0.001

Values from the calculation:
Formation energy from the elements = -482 meV/atom
SG = No. 160

Record 2
A plane-wave DFT calculation with GGA-PBE was carried out for a relaxed RbBa2Bi crystal.

a b c (Å): 5.378 5.874 5.874
angles (deg): 90.00 90.00 90.00
Positions (direct):
Bi1 0.500 0.000 0.000
Rb1 0.500 0.500 0.500
Ba1 0.000 0.500 0.000
Ba2 0.000 0.000 0.500

Values from the calculation:
Formation energy from the elements = -363 meV/atom
SG = No. 123

Record 3
A plane-wave DFT calculation with GGA-PBE was carried out for a relaxed RbBa2Bi2 crystal.

a b c (Å): 10.401 10.401 4.172
angles (deg): 90.00 90.00 90.00
Positions (direct):
Ba1 0.634 0.866 0.500
Ba2 0.134 0.634 0.500
Ba3 0.866 0.366 0.500
Ba4 0.366 0.134 0.500
Bi1 0.664 0.164 0.000
Bi2 0.164 0.336 0.000
Bi3 0.336 0.836 0.000
Bi4 0.836 0.664 0.000
Rb1 0.000 0.000 0.000
Rb2 0.500 0.500 0.000

Values from the calculation:
E above lowest polymorph = 0.0 meV per atom
Formation energy from the elements = -721 meV/atom
SG = No. 127

Record 4
A plane-wave DFT calculation with GGA-PBE was carried out for a relaxed RbBaBi2 crystal.

a b c (Å): 6.148 6.148 6.148
angles (deg): 60.00 60.00 60.00
Positions (direct):
Bi1 0.250 0.250 0.250
Bi2 0.750 0.750 0.750
Ba1 0.500 0.500 0.500
Rb1 0.000 0.000 0.000

Values from the calculation:
E above lowest polymorph = 180.1 meV per atom
Formation energy from the elements = -392 meV/atom
SG = No. 225

Record 5
A plane-wave DFT calculation with GGA-PBE was carried out for a relaxed RbBa4Bi4 crystal.

a b c (Å): 7.086 11.625 11.625
angles (deg): 90.00 90.00 90.00
Last column: magnetic moment on the atom in μB.
Positions (direct):
Bi1 0.609 0.805 0.347  0.06
Bi2 0.391 0.347 0.195  0.06
Bi3 0.391 0.653 0.805  0.06
Bi4 0.891 0.305 0.847  0.06
Bi5 0.109 0.153 0.305  0.06
Bi6 0.109 0.847 0.695  0.06
Bi7 0.609 0.195 0.653  0.06
Bi8 0.891 0.695 0.153  0.06
Ba1 0.890 0.618 0.847  0.04
Ba2 0.110 0.153 0.618  0.04
Ba3 0.610 0.882 0.653  0.04
Ba4 0.890 0.382 0.153  0.04
Ba5 0.390 0.653 0.118  0.04
Ba6 0.610 0.118 0.347  0.04
Ba7 0.110 0.847 0.382  0.04
Ba8 0.390 0.347 0.882  0.04
Rb1 0.500 0.500 0.500  0.00
Rb2 0.000 0.000 0.000  0.00

Values from the calculation:
Formation energy from the elements = -652 meV/atom
SG = No. 86

Record 6
A plane-wave DFT calculation with GGA-PBE was carried out for a relaxed RbBa2Bi crystal.

a b c (Å): 4.523 4.523 11.304
angles (deg): 90.00 90.00 90.00
Positions (direct):
Ba1 0.000 0.000 0.161
Ba2 0.000 0.000 0.839
Bi1 0.500 0.500 0.000
Rb1 0.500 0.500 0.500

Values from the calculation:
Formation energy from the elements = -453 meV/atom
SG = No. 123

Record 7
A plane-wave DFT calculation with GGA-PBE was carried out for a relaxed RbBa2BiS4 crystal.

a b c (Å): 8.884 8.884 8.947
angles (deg): 120.24 120.24 89.42
Positions (direct):
Ba1 0.000 0.000 0.500
Ba2 0.500 0.000 0.000
Ba3 0.500 0.000 0.500
Ba4 0.500 0.500 0.000
S1 0.252 0.248 0.479
S2 0.748 0.752 0.521
S3 0.277 0.743 0.510
S4 0.757 0.223 0.990
S5 0.243 0.777 0.010
S6 0.748 0.752 0.979
S7 0.252 0.248 0.021
S8 0.723 0.257 0.490
Rb1 0.000 0.500 0.500
Rb2 0.000 0.500 0.000
Bi1 0.500 0.500 0.500
Bi2 0.000 0.000 0.000

Values from the calculation:
Calculated total energy = -71.4 eV/cell
SG = No. 74

Record 8
A plane-wave DFT calculation with GGA-PBE was carried out for a relaxed Rb2BaBiS4 crystal.

a b c (Å): 9.017 9.017 9.374
angles (deg): 121.31 121.31 90.19
Last column: magnetic moment on the atom in μB.
Positions (direct):
Rb1 0.000 0.000 0.500  0.00
Rb2 0.500 0.500 0.000  0.00
Rb3 0.500 0.000 0.500  0.00
Rb4 0.500 0.000 0.000  0.00
Ba1 0.000 0.500 0.000  0.00
Ba2 0.000 0.500 0.500  0.00
S1 0.791 0.233 0.012  0.14
S2 0.246 0.254 0.455  0.07
S3 0.267 0.709 0.488  0.14
S4 0.209 0.767 0.988  0.14
S5 0.754 0.746 0.545  0.07
S6 0.754 0.746 0.955  0.07
S7 0.733 0.291 0.512  0.14
S8 0.246 0.254 0.045  0.07
Bi1 0.500 0.500 0.500  0.01
Bi2 0.000 0.000 0.000  0.01

Values from the calculation:
Calculated total energy = -64.4 eV/cell
SG = No. 74

Record 9
A plane-wave DFT calculation with GGA-PBE was carried out for a relaxed Rb2BaBiSe4 crystal.

a b c (Å): 9.376 9.376 9.798
angles (deg): 121.50 121.50 90.14
Last column: magnetic moment on the atom in μB.
Positions (direct):
Se1 0.754 0.746 0.958  0.07
Se2 0.739 0.287 0.513  0.14
Se3 0.246 0.254 0.042  0.07
Se4 0.246 0.254 0.458  0.07
Se5 0.261 0.713 0.487  0.14
Se6 0.213 0.761 0.987  0.14
Se7 0.787 0.239 0.013  0.14
Se8 0.754 0.746 0.542  0.07
Rb1 0.000 0.000 0.500  0.00
Rb2 0.500 0.500 0.000  0.00
Rb3 0.500 0.000 0.000  0.01
Rb4 0.500 0.000 0.500  0.01
Bi1 0.000 0.000 0.000  0.00
Bi2 0.500 0.500 0.500  0.00
Ba1 0.000 0.500 0.500  0.00
Ba2 0.000 0.500 0.000  0.00

Values from the calculation:
Calculated total energy = -59.5 eV/cell
SG = No. 74

Record 10
A plane-wave DFT calculation with GGA-PBE was carried out for a relaxed Rb2BaSnBi2 crystal.

a b c (Å): 5.530 9.305 10.219
angles (deg): 90.00 90.00 90.00
Positions (direct):
Ba1 0.000 0.500 0.533
Ba2 0.000 0.000 0.467
Sn1 0.500 0.653 0.320
Sn2 0.500 0.153 0.680
Rb1 0.000 0.350 0.160
Rb2 0.500 0.519 0.907
Rb3 0.000 0.850 0.840
Rb4 0.500 0.019 0.093
Bi1 0.000 0.744 0.198
Bi2 0.000 0.244 0.802
Bi3 0.500 0.280 0.400
Bi4 0.500 0.780 0.600

Values from the calculation:
Formation energy from the elements = -478 meV/atom
SG = No. 26

Record 11
A plane-wave DFT calculation with GGA-PBE was carried out for a relaxed Rb2BaBiTe crystal.

a b c (Å): 6.688 6.738 6.688
angles (deg): 90.00 90.00 90.00
Last column: magnetic moment on the atom in μB.
Positions (direct):
Ba1 0.000 0.500 0.000  0.01
Bi1 0.000 0.000 0.000  0.30
Te1 0.500 0.500 0.500  0.05
Rb1 0.500 0.000 0.000  0.01
Rb2 0.000 0.000 0.500  0.02

Values from the calculation:
Calculated total energy = -12.7 eV/cell
SG = No. 123

Record 12
A plane-wave DFT calculation with GGA-PBE was carried out for a relaxed RbBaTl4Bi2 crystal.

a b c (Å): 4.835 4.835 13.967
angles (deg): 90.00 90.00 90.00
Positions (direct):
Rb1 0.000 0.000 0.000
Tl1 0.000 0.500 0.777
Tl2 0.000 0.500 0.223
Tl3 0.500 0.000 0.777
Tl4 0.500 0.000 0.223
Bi1 0.500 0.500 0.383
Bi2 0.500 0.500 0.617
Ba1 0.000 0.000 0.500

Values from the calculation:
Formation energy from the elements = -300 meV/atom
SG = No. 123